The following is a PBE calculation of a relaxed structure of FeCS2, from the Alexandria database.

Geometry as extended XYZ:
```
8
Lattice="4.769 0.000 0.000 0.000 4.769 0.000 2.384 2.384 4.420" Properties=species:S:1:pos:R:3 pbc="T T T"
S 5.961 5.827 3.315
S 3.577 3.710 3.315
S 1.326 3.577 1.105
S 3.443 1.192 1.105
Fe 0.000 0.000 0.000
Fe 4.769 2.384 2.210
C 2.384 2.384 0.000
C 2.384 4.769 2.210
```

Properties
DOS(E_F) in states/eV/cell: 4.1
Magnetization in μB/cell: 0.0
SG: I-42d, No. 122
E_form (uncorrected) in meV/atom: 688

---

The following is a PBE calculation of a relaxed structure of Li2BiO2, from the Alexandria database.

Geometry as extended XYZ:
```
5
Lattice="3.289 -0.083 -0.130 -0.780 3.196 -0.130 -1.025 -1.272 5.712" Properties=species:S:1:pos:R:3 pbc="T T T"
O 0.159 0.197 3.869
O 1.325 1.644 1.583
Li 1.758 0.101 2.726
Li -0.274 1.740 2.726
Bi 0.000 0.000 0.000
```

Properties
DOS(E_F) in states/eV/cell: 0.7
Magnetization in μB/cell: 0.0
Offset from the most stable computed form in meV per atom: 299.3
SG: Fmmm, No. 69
E_form (uncorrected) in meV/atom: -1172

---

The following is a PBE calculation of a relaxed structure of LaCuIr2, from the Alexandria database.

Geometry as extended XYZ:
```
4
Lattice="3.099 0.000 0.000 0.000 4.947 -0.006 0.000 3.432 4.581" Properties=species:S:1:pos:R:3 pbc="T T T"
La 1.549 4.190 2.288
Cu 0.000 1.716 2.291
Ir 1.549 2.474 -0.003
Ir 0.000 0.000 0.000
```

Properties
DOS(E_F) in states/eV/cell: 2.9
Magnetization in μB/cell: 0.0
Energy of formation from the pure elements in eV/atom: 0.000
Offset from the most stable computed form in meV per atom: 398.6
SG: P2/m, No. 10